(1)
DFT (meta-GGA SCAN) results for a PBEsol-optimized structure of Zr3InSe.

Unit cell a=4.9256 b=4.9256 c=4.9256 alpha=90.00 beta=90.00 gamma=90.00
With the nearest neighbours (Å) after each atom.
Atoms (fractional coordinates):
Zr1 0.0000 0.0000 0.5000  2 Se 2.46
Zr2 0.0000 0.5000 0.0000  2 Se 2.46
Zr3 0.5000 0.0000 0.0000  2 Se 2.46
In1 0.5000 0.5000 0.5000  12 Zr 3.48
Se1 0.0000 0.0000 0.0000  6 Zr 2.46

Values from the calculation:
space group = Pm-3m (221)
E_form (uncorrected) = -1.226 eV/f.u.


(2)
DFT (meta-GGA SCAN) results for a PBEsol-optimized structure of InAu2Se.

Unit cell a=3.9461 b=3.9461 c=5.8822 alpha=109.91 beta=109.91 gamma=75.33
With the nearest neighbours (Å) after each atom.
Atoms (fractional coordinates):
In1 0.0000 0.0000 0.0000  6 Au 2.82-2.84, 2 Se 2.94
Au1 0.4960 0.4960 0.7503  3 Se 2.80-2.83, 3 In 2.82-2.84, 2 Au 2.92-2.97
Au2 0.5040 0.5040 0.2497  3 Se 2.80-2.83, 3 In 2.82-2.84, 2 Au 2.92-2.97
Se1 0.0000 0.0000 0.5000  6 Au 2.80-2.83, 2 In 2.94

Values from the calculation:
space group = C2/m (12)
polymorph energy (0 for the lowest one) = 0 meV per atom
E_form (uncorrected) = -0.293 eV/f.u.


(3)
DFT (meta-GGA SCAN) results for a PBEsol-optimized structure of MnInSb.

Unit cell a=6.3800 b=6.3800 c=6.3800 alpha=152.46 beta=148.64 gamma=42.22
With the nearest neighbours (Å) after each atom.
Atoms (fractional coordinates):
Mn1 0.0000 0.0000 0.0000  4 Sb 2.77, 4 In 2.87, 2 Mn 3.04
In1 0.3550 0.3550 0.0000  4 Mn 2.87, 2 In 3.04
Sb1 0.6294 0.6294 0.0000  4 Mn 2.77, 2 Sb 3.04

Values from the calculation:
space group = Imm2 (44)
E_form (uncorrected) = 0.215 eV/f.u.


(4)
DFT (meta-GGA SCAN) results for a PBEsol-optimized structure of BaPdN2O.

Unit cell a=3.9620 b=3.9620 c=4.4437 alpha=90.00 beta=90.00 gamma=90.00
With the nearest neighbours (Å) after each atom.
Atoms (fractional coordinates):
Ba1 0.0000 0.0000 0.0000  4 O 2.80, 8 N 2.98
Pd1 0.5000 0.5000 0.5000  4 N 1.98
N1 0.0000 0.5000 0.5000  2 Pd 1.98
N2 0.5000 0.0000 0.5000  2 Pd 1.98
O1 0.5000 0.5000 0.0000  2 Pd 2.22

Values from the calculation:
space group = P4/mmm (123)
E_form (uncorrected) = -0.246 eV/f.u.


(5)
DFT (meta-GGA SCAN) results for a PBEsol-optimized structure of Sm2Ti2O7.

Unit cell a=7.2053 b=7.2053 c=7.2053 alpha=60.00 beta=60.00 gamma=60.00
With the nearest neighbours (Å) after each atom.
Atoms (fractional coordinates):
Sm1 0.0000 0.0000 0.0000  2 O 2.21
Sm2 0.0000 0.0000 0.5000  2 O 2.21
Sm3 0.0000 0.5000 0.0000  2 O 2.21
Sm4 0.5000 0.0000 0.0000  2 O 2.21
Ti1 0.0000 0.5000 0.5000  6 O 1.97
Ti2 0.5000 0.0000 0.5000  6 O 1.97
Ti3 0.5000 0.5000 0.0000  6 O 1.97
Ti4 0.5000 0.5000 0.5000  6 O 1.97
O1 0.1250 0.1250 0.1250  4 Sm 2.21
O2 0.1724 0.1724 0.5776  2 Ti 1.97
O3 0.1724 0.5776 0.1724  2 Ti 1.97
O4 0.1724 0.5776 0.5776  2 Ti 1.97
O5 0.4224 0.4224 0.8276  2 Ti 1.97
O6 0.4224 0.8276 0.4224  2 Ti 1.97
O7 0.4224 0.8276 0.8276  2 Ti 1.97
O8 0.5776 0.1724 0.1724  2 Ti 1.97
O9 0.5776 0.1724 0.5776  2 Ti 1.97
O10 0.5776 0.5776 0.1724  2 Ti 1.97
O11 0.8276 0.4224 0.4224  2 Ti 1.97
O12 0.8276 0.4224 0.8276  2 Ti 1.97
O13 0.8276 0.8276 0.4224  2 Ti 1.97
O14 0.8750 0.8750 0.8750  4 Sm 2.21

Values from the calculation:
space group = Fd-3m (227)
E_form (uncorrected) = -39.852 eV/f.u.


(6)
DFT (meta-GGA SCAN) results for a PBEsol-optimized structure of Mg2AlAs.

Unit cell a=4.8177 b=4.8177 c=4.8177 alpha=60.00 beta=60.00 gamma=60.00
With the nearest neighbours (Å) after each atom.
Atoms (fractional coordinates):
Mg1 0.0000 0.0000 0.0000  4 Al 2.95, 4 Mg 2.95
Mg2 0.2500 0.2500 0.2500  4 As 2.95, 4 Mg 2.95
Al1 0.7500 0.7500 0.7500  4 As 2.95, 4 Mg 2.95
As1 0.5000 0.5000 0.5000  4 Al 2.95, 4 Mg 2.95

Values from the calculation:
ΔE_f = 0.07 eV per atom
space group = F-43m (216)
polymorph energy (0 for the lowest one) = 209 meV per atom


Total magnetic moment across the listed records, respectively: 0.0 0.0 3.5 3.0 0.0 0.0 μB/f.u..